A plane-wave DFT calculation with GGA-PBE was carried out for a relaxed TaAlCoAg crystal.

Computed properties:
M_tot: 0.01 μB/f.u.
SG: F-43m
DFT total energy: -6.36 eV/atom

abc: 4.3991 4.3991 4.3991
angles: 60.00 60.00 60.00
With the nearest neighbours (Å) after each atom.
Sites, in units of the cell vectors:
Ta1 0.5000 0.5000 0.5000  4 Co 2.69, 4 Ag 2.69
Al1 0.0000 0.0000 0.0000  4 Co 2.69, 4 Ag 2.69
Co1 0.7500 0.7500 0.7500  4 Ta 2.69, 4 Al 2.69
Ag1 0.2500 0.2500 0.2500  4 Ta 2.69, 4 Al 2.69

---

A plane-wave DFT calculation with GGA-PBE was carried out for a relaxed ScZnAgPt crystal.

Computed properties:
M_tot: 0.00 μB/f.u.
Formation energy: -514 meV per atom
SG: F-43m

abc: 4.6173 4.6173 4.6173
angles: 60.00 60.00 60.00
With the nearest neighbours (Å) after each atom.
Sites, in units of the cell vectors:
Zn1 0.5000 0.5000 0.5000  4 Ag 2.83, 4 Sc 2.83
Ag1 0.2500 0.2500 0.2500  4 Zn 2.83, 4 Pt 2.83
Pt1 0.0000 0.0000 0.0000  4 Sc 2.83, 4 Ag 2.83
Sc1 0.7500 0.7500 0.7500  4 Pt 2.83, 4 Zn 2.83

---

A plane-wave DFT calculation with GGA-PBE was carried out for a relaxed Cd2GaRe crystal.

Computed properties:
M_tot: 0.00 μB/f.u.
SG: F-43m
DFT total energy: -3.69 eV/atom

abc: 4.6316 4.6316 4.6316
angles: 60.00 60.00 60.00
With the nearest neighbours (Å) after each atom.
Sites, in units of the cell vectors:
Cd1 0.0000 0.0000 0.0000  4 Cd 2.84, 4 Re 2.84
Cd2 0.7500 0.7500 0.7500  4 Cd 2.84, 4 Ga 2.84
Re1 0.2500 0.2500 0.2500  4 Ga 2.84, 4 Cd 2.84
Ga1 0.5000 0.5000 0.5000  4 Re 2.84, 4 Cd 2.84

---

A plane-wave DFT calculation with GGA-PBE was carried out for a relaxed AgH14C3S3N6ClO crystal.

Computed properties:
SG: P-1
DFT total energy: -5.41 eV/atom

abc: 6.0263 9.8418 10.8511
angles: 99.52 92.03 103.20
With the nearest neighbours (Å) after each atom.
Sites, in units of the cell vectors:
H1 0.5199 0.8479 0.1159  1 N 1.02
H2 0.4801 0.1521 0.8841  1 N 1.02
H3 0.8336 0.7676 0.7731  1 N 1.02
H4 0.5068 0.0603 0.2813  1 N 1.02
H5 0.6519 0.2208 0.0591  1 N 1.02
H6 0.7408 0.0306 0.3672  1 N 1.03
H7 0.1127 0.0646 0.4050  1 O 1.00
H8 0.3185 0.7114 0.3682  1 N 1.03
H9 0.5961 0.3715 0.1540  1 N 1.03
H10 0.8321 0.1587 0.5772  1 N 1.03
H11 0.2592 0.9694 0.6328  1 N 1.03
H12 0.0196 0.8500 0.9072  1 N 1.02
H13 0.8873 0.9354 0.5950  1 O 1.00
H14 0.1928 0.1187 0.9197  1 N 1.02
H15 0.3481 0.7792 0.9409  1 N 1.02
H16 0.9804 0.1500 0.0928  1 N 1.02
H17 0.6815 0.2886 0.6318  1 N 1.03
H18 0.1664 0.2324 0.2269  1 N 1.02
H19 0.0833 0.4204 0.8182  1 N 1.02
H20 0.9700 0.2674 0.8793  1 N 1.03
H21 0.4932 0.9397 0.7187  1 N 1.02
H22 0.0592 0.9586 0.2797  1 O 0.99
H23 0.4039 0.6285 0.8460  1 N 1.03
H24 0.0300 0.7326 0.1207  1 N 1.03
H25 0.9408 0.0414 0.7203  1 O 0.99
H26 0.8072 0.8813 0.0803  1 N 1.02
H27 0.1679 0.8413 0.4228  1 N 1.03
H28 0.9167 0.5796 0.1818  1 N 1.02
N1 0.3314 0.1853 0.8929  2 H 1.02
N2 0.6090 0.0815 0.3625  2 H 1.02-1.03
N3 0.3910 0.9185 0.6375  2 H 1.02-1.03
N4 0.0262 0.2288 0.1695  2 H 1.02
N5 0.6686 0.8147 0.1071  2 H 1.02
N6 0.8890 0.6597 0.1384  2 H 1.02-1.03
N7 0.6929 0.2978 0.1371  2 H 1.02-1.03
N8 0.2840 0.7830 0.4406  2 H 1.03
N9 0.3071 0.7022 0.8629  2 H 1.02-1.03
N10 0.9738 0.7712 0.8305  2 H 1.02
N11 0.1110 0.3403 0.8616  2 H 1.02-1.03
N12 0.7160 0.2170 0.5594  2 H 1.03
Ag1 0.3748 0.4659 0.6115  3 S 2.50-2.59, 1 H 2.75
Ag2 0.6252 0.5341 0.3885  3 S 2.50-2.59, 1 H 2.75
C1 0.1104 0.6845 0.7946  2 N 1.34
C2 0.3137 0.3070 0.8577  2 N 1.34
C3 0.8896 0.3155 0.2054  2 N 1.34
C4 0.5824 0.1841 0.4538  2 N 1.33
C5 0.4176 0.8159 0.5462  2 N 1.33
C6 0.6863 0.6930 0.1423  2 N 1.34
Cl1 0.7655 0.0459 0.8961  5 H 2.21-2.41
Cl2 0.2345 0.9541 0.1039  5 H 2.21-2.41
S1 0.6322 0.7291 0.5694  1 C 1.74
S2 0.9740 0.4445 0.3357  1 C 1.71
S3 0.0260 0.5555 0.6643  1 C 1.71
S4 0.3678 0.2709 0.4306  1 C 1.74
S5 0.5530 0.4163 0.8149  1 C 1.72
S6 0.4470 0.5837 0.1851  1 C 1.72
O1 0.0132 0.9705 0.3668  2 H 0.99-1.00
O2 0.9868 0.0295 0.6332  2 H 0.99-1.00

---

A plane-wave DFT calculation with GGA-PBE was carried out for a relaxed MgTlCuAg crystal.

Computed properties:
SG: F-43m
DFT total energy: -2.56 eV/atom

abc: 4.7252 4.7252 4.7252
angles: 60.00 60.00 60.00
With the nearest neighbours (Å) after each atom.
Sites, in units of the cell vectors:
Tl1 0.0000 0.0000 0.0000  4 Ag 2.89, 4 Cu 2.89
Cu1 0.7500 0.7500 0.7500  4 Tl 2.89, 4 Mg 2.89
Ag1 0.2500 0.2500 0.2500  4 Mg 2.89, 4 Tl 2.89
Mg1 0.5000 0.5000 0.5000  4 Ag 2.89, 4 Cu 2.89

---

A plane-wave DFT calculation with GGA-PBE was carried out for a relaxed TaBeCo crystal.

Computed properties:
M_tot: 0.00 μB/f.u.
SG: F-43m
DFT total energy: -6.83 eV/atom

abc: 3.9827 3.9827 3.9827
angles: 60.00 60.00 60.00
With the nearest neighbours (Å) after each atom.
Sites, in units of the cell vectors:
Be1 0.2500 0.2500 0.2500  4 Ta 2.44
Ta1 0.0000 0.0000 0.0000  4 Co 2.44, 4 Be 2.44
Co1 0.7500 0.7500 0.7500  4 Ta 2.44

---

A plane-wave DFT calculation with GGA-PBE was carried out for a relaxed BeAlW2 crystal.

Computed properties:
M_tot: 0.00 μB/f.u.
SG: F-43m
DFT total energy: -8.21 eV/atom

abc: 4.3223 4.3223 4.3223
angles: 60.00 60.00 60.00
With the nearest neighbours (Å) after each atom.
Sites, in units of the cell vectors:
Al1 0.5000 0.5000 0.5000  4 W 2.65, 4 Be 2.65
Be1 0.2500 0.2500 0.2500  4 W 2.65, 4 Al 2.65
W1 0.7500 0.7500 0.7500  4 Al 2.65, 4 W 2.65
W2 0.0000 0.0000 0.0000  4 W 2.65, 4 Be 2.65

---

A plane-wave DFT calculation with GGA-PBE was carried out for a relaxed SnB4Ir crystal.

Computed properties:
M_tot: 0.00 μB/f.u.
SG: P6/mmm
DFT total energy: -6.06 eV/atom

abc: 3.1586 3.1586 7.4665
angles: 90.00 90.00 120.00
With the nearest neighbours (Å) after each atom.
Sites, in units of the cell vectors:
Sn1 0.0000 0.0000 0.5000  12 B 2.85, 6 Sn 3.16
B1 0.6667 0.3333 0.2073  3 B 1.82
B2 0.6667 0.3333 0.7927  3 B 1.82
B3 0.3333 0.6667 0.2073  3 B 1.82
B4 0.3333 0.6667 0.7927  3 B 1.82
Ir1 0.0000 0.0000 0.0000  12 B 2.39

---

A plane-wave DFT calculation with GGA-PBE was carried out for a relaxed AlGa3Cu2 crystal.

Computed properties:
SG: P-4m2
DFT total energy: -3.49 eV/atom

abc: 4.1072 4.1072 5.8131
angles: 90.00 90.00 90.00
With the nearest neighbours (Å) after each atom.
Sites, in units of the cell vectors:
Al1 0.0000 0.0000 0.5000  4 Cu 2.51
Cu1 0.0000 0.5000 0.7496  6 Ga 2.51-2.52, 2 Al 2.51
Cu2 0.5000 0.0000 0.2504  2 Al 2.51, 6 Ga 2.51-2.52
Ga1 0.5000 0.5000 0.0000  4 Cu 2.52
Ga2 0.0000 0.0000 0.0000  4 Cu 2.52
Ga3 0.5000 0.5000 0.5000  4 Cu 2.51

---

A plane-wave DFT calculation with GGA-PBE was carried out for a relaxed NaFeOsAu crystal.

Computed properties:
M_tot: 4.00 μB/f.u.
SG: F-43m
DFT total energy: -5.30 eV/atom

abc: 4.4329 4.4329 4.4329
angles: 60.00 60.00 60.00
With the nearest neighbours (Å) after each atom.
Sites, in units of the cell vectors:
Os1 0.0000 0.0000 0.0000  4 Na 2.71, 4 Fe 2.71
Au1 0.5000 0.5000 0.5000  4 Na 2.71, 4 Fe 2.71
Fe1 0.2500 0.2500 0.2500  4 Os 2.71, 4 Au 2.71
Na1 0.7500 0.7500 0.7500  4 Os 2.71, 4 Au 2.71

---

A plane-wave DFT calculation with GGA-PBE was carried out for a relaxed HfTl2ZnBr6 crystal.

Computed properties:
M_tot: 0.00 μB/f.u.
SG: Fm-3m
DFT total energy: -3.47 eV/atom

abc: 8.1731 8.1731 8.1731
angles: 60.00 60.00 60.00
With the nearest neighbours (Å) after each atom.
Sites, in units of the cell vectors:
Br1 0.2272 0.2272 0.7728  1 Hf 2.63
Br2 0.7728 0.2272 0.7728  1 Hf 2.63
Br3 0.2272 0.7728 0.7728  1 Hf 2.63
Br4 0.7728 0.7728 0.2272  1 Hf 2.63
Br5 0.2272 0.7728 0.2272  1 Hf 2.63
Br6 0.7728 0.2272 0.2272  1 Hf 2.63
Tl1 0.7500 0.7500 0.7500  12 Br 4.09
Tl2 0.2500 0.2500 0.2500  12 Br 4.09
Hf1 0.0000 0.0000 0.0000  6 Br 2.63
Zn1 0.5000 0.5000 0.5000  6 Br 3.15

---

A plane-wave DFT calculation with GGA-PBE was carried out for a relaxed NaLaZrNi crystal.

Computed properties:
M_tot: 0.01 μB/f.u.
SG: F-43m
DFT total energy: -4.50 eV/atom

abc: 4.9424 4.9424 4.9424
angles: 60.00 60.00 60.00
With the nearest neighbours (Å) after each atom.
Sites, in units of the cell vectors:
La1 0.2500 0.2500 0.2500  4 Zr 3.03, 4 Ni 3.03
Na1 0.7500 0.7500 0.7500  4 Zr 3.03, 4 Ni 3.03
Ni1 0.5000 0.5000 0.5000  4 La 3.03, 4 Na 3.03
Zr1 0.0000 0.0000 0.0000  4 La 3.03, 4 Na 3.03